Entry 1:
DFT (PBE) results for a relaxed structure of GaCuIrOs.

Summary:
The relative energy among the computed polymorphs is 0.00 eV/f.u. The crystal system is cubic.

a = 6.0918 Å, b = 6.0918 Å, c = 6.0918 Å
α = 90.00°, β = 90.00°, γ = 90.00°
Closest atoms and distances in Å follow each position.
Space group F-43m (No. 216)
Asymmetric unit:
Ga 0.0000 0.0000 0.0000  4 Cu 2.64, 4 Os 2.64
Cu 0.2500 0.2500 0.2500  4 Ir 2.64, 4 Ga 2.64
Ir 0.0000 0.0000 0.5000  4 Os 2.64, 4 Cu 2.64
Os 0.2500 0.2500 0.7500  4 Ir 2.64, 4 Ga 2.64

=====

Entry 2:
DFT (PBE) results for a relaxed structure of ScCuOsW.

Summary:
The relative energy among the computed polymorphs is 0.00 eV/f.u. The crystal system is cubic. Its formation energy is -28 meV per atom.

a = 6.2905 Å, b = 6.2905 Å, c = 6.2905 Å
α = 90.00°, β = 90.00°, γ = 90.00°
Closest atoms and distances in Å follow each position.
Space group F-43m (No. 216)
Asymmetric unit:
Sc 0.0000 0.0000 0.0000  4 Os 2.72, 4 Cu 2.72
Cu 0.2500 0.2500 0.2500  4 W 2.72, 4 Sc 2.72
Os 0.2500 0.2500 0.7500  4 W 2.72, 4 Sc 2.72
W 0.0000 0.0000 0.5000  4 Cu 2.72, 4 Os 2.72